# Sc2NiPb, PBEsol geometry, DFT meta-GGA SCAN
data_Sc2NiPb
_chemical_formula_sum 'Sc2 Ni1 Pb1'
_cell_length_a 8.354
_cell_length_b 8.354
_cell_length_c 8.354
_cell_angle_alpha 23.87
_cell_angle_beta 23.87
_cell_angle_gamma 23.87
_symmetry_space_group_name_H-M 'P 1'
_symmetry_Int_Tables_number 1
loop_
_symmetry_equiv_pos_as_xyz
'x,y,z'
loop_
_atom_site_label
_atom_site_fract_x
_atom_site_fract_y
_atom_site_fract_z
Sc1 0.230 0.230 0.230
Sc2 0.770 0.770 0.770
Ni1 0.500 0.500 0.500
Pb1 0.000 0.000 0.000
# - Final energy: -121.86 eV/cell
# - Calculated formation energy: -0.3587 eV per atom

# Li6UO6, PBEsol geometry, DFT meta-GGA SCAN
data_Li6UO6
_chemical_formula_sum 'Li6 U1 O6'
_cell_length_a 5.409
_cell_length_b 5.409
_cell_length_c 5.409
_cell_angle_alpha 101.04
_cell_angle_beta 101.04
_cell_angle_gamma 101.04
_symmetry_space_group_name_H-M 'P 1'
_symmetry_Int_Tables_number 1
loop_
_symmetry_equiv_pos_as_xyz
'x,y,z'
loop_
_atom_site_label
_atom_site_fract_x
_atom_site_fract_y
_atom_site_fract_z
Li1 0.000 0.354 0.646
Li2 0.000 0.646 0.354
Li3 0.354 0.000 0.646
Li4 0.354 0.646 0.000
Li5 0.646 0.000 0.354
Li6 0.646 0.354 0.000
U1 0.000 0.000 0.000
O1 0.102 0.730 0.730
O2 0.270 0.270 0.898
O3 0.270 0.898 0.270
O4 0.730 0.102 0.730
O5 0.730 0.730 0.102
O6 0.898 0.270 0.270
# - ΔE_f (raw): -2.596 eV/atom
# - Final energy: -189.00 eV/cell

# RePbAu2N, PBEsol geometry, DFT meta-GGA SCAN
data_RePbAu2N
_chemical_formula_sum 'Re1 Pb1 Au2 N1'
_cell_length_a 4.776
_cell_length_b 4.776
_cell_length_c 3.825
_cell_angle_alpha 90.00
_cell_angle_beta 90.00
_cell_angle_gamma 90.00
_symmetry_space_group_name_H-M 'P 1'
_symmetry_Int_Tables_number 1
loop_
_symmetry_equiv_pos_as_xyz
'x,y,z'
loop_
_atom_site_label
_atom_site_fract_x
_atom_site_fract_y
_atom_site_fract_z
Re1 0.000 0.000 0.000
Pb1 0.500 0.500 0.000
Au1 0.000 0.500 0.500
Au2 0.500 0.000 0.500
N1 0.000 0.000 0.500
# - ΔE_f (raw): 0.816 eV/atom
# - Final energy: -290.41 eV/cell

# Si3HOs, PBEsol geometry, DFT meta-GGA SCAN
data_Si3HOs
_chemical_formula_sum 'Si3 H1 Os1'
_cell_length_a 3.818
_cell_length_b 3.818
_cell_length_c 3.818
_cell_angle_alpha 90.00
_cell_angle_beta 90.00
_cell_angle_gamma 90.00
_symmetry_space_group_name_H-M 'P 1'
_symmetry_Int_Tables_number 1
loop_
_symmetry_equiv_pos_as_xyz
'x,y,z'
loop_
_atom_site_label
_atom_site_fract_x
_atom_site_fract_y
_atom_site_fract_z
Si1 0.000 0.000 0.500
Si2 0.000 0.500 0.000
Si3 0.500 0.000 0.000
H1 0.000 0.000 0.000
Os1 0.500 0.500 0.500
# - Final energy: -102.45 eV/cell

# SiSb3Pd, PBEsol geometry, DFT meta-GGA SCAN
data_SiSb3Pd
_chemical_formula_sum 'Si1 Sb3 Pd1'
_cell_length_a 5.128
_cell_length_b 5.128
_cell_length_c 5.128
_cell_angle_alpha 90.00
_cell_angle_beta 90.00
_cell_angle_gamma 90.00
_symmetry_space_group_name_H-M 'P 1'
_symmetry_Int_Tables_number 1
loop_
_symmetry_equiv_pos_as_xyz
'x,y,z'
loop_
_atom_site_label
_atom_site_fract_x
_atom_site_fract_y
_atom_site_fract_z
Si1 0.000 0.000 0.000
Sb1 0.000 0.500 0.500
Sb2 0.500 0.000 0.500
Sb3 0.500 0.500 0.000
Pd1 0.500 0.500 0.500
# - ΔE_f (raw): 0.746 eV/atom
# - Final energy: -150.84 eV/cell

# Co2TcMo, PBEsol geometry, DFT meta-GGA SCAN
data_Co2TcMo
_chemical_formula_sum 'Co2 Tc1 Mo1'
_cell_length_a 4.483
_cell_length_b 4.483
_cell_length_c 4.483
_cell_angle_alpha 132.08
_cell_angle_beta 132.08
_cell_angle_gamma 70.10
_symmetry_space_group_name_H-M 'P 1'
_symmetry_Int_Tables_number 1
loop_
_symmetry_equiv_pos_as_xyz
'x,y,z'
loop_
_atom_site_label
_atom_site_fract_x
_atom_site_fract_y
_atom_site_fract_z
Co1 0.250 0.750 0.500
Co2 0.750 0.250 0.500
Tc1 0.000 0.000 0.000
Mo1 0.500 0.500 0.000
# - Final energy: -103.95 eV/cell
# - Calculated formation energy: 0.1508 eV per atom